(1)
Here is BaYMo after structural relaxation from the Alexandria database. Energies are from PBE-GGA.

a = 5.169 Å, b = 5.169 Å, c = 5.169 Å
α = 60.00°, β = 60.00°, γ = 60.00°
Element x y z (fractional)
Ba (0.000, 0.000, 0.000)
Y (0.500, 0.500, 0.500)
Mo (0.250, 0.250, 0.250)

E above lowest polymorph: 0.403 eV/atom
Formation energy: 1.1418 eV/atom

=====

(2)
Here is Mo2OsPt after structural relaxation from the Alexandria database. Energies are from PBE-GGA.

a = 2.768 Å, b = 2.768 Å, c = 8.074 Å
α = 90.00°, β = 90.00°, γ = 90.00°
Element x y z (fractional)
Mo (0.000, 0.000, 0.000)
Mo (0.500, 0.500, 0.269)
Os (0.000, 0.000, 0.496)
Pt (0.500, 0.500, 0.752)

E above lowest polymorph: 0.184 eV/atom
Formation energy: 0.0177 eV/atom

=====

(3)
Here is Nb5B2H2 after structural relaxation from the Alexandria database. Energies are from PBE-GGA.

a = 5.945 Å, b = 6.198 Å, c = 6.222 Å
α = 90.00°, β = 107.72°, γ = 90.00°
Element x y z (fractional)
Nb (0.000, 0.000, 0.000)
Nb (0.000, 0.500, 0.500)
Nb (0.276, 0.169, 0.397)
Nb (0.276, 0.331, 0.897)
Nb (0.294, 0.665, 0.267)
Nb (0.294, 0.835, 0.767)
Nb (0.706, 0.165, 0.233)
Nb (0.706, 0.335, 0.733)
Nb (0.724, 0.669, 0.103)
Nb (0.724, 0.831, 0.603)
B (0.004, 0.612, 0.898)
B (0.004, 0.888, 0.398)
B (0.996, 0.112, 0.602)
B (0.996, 0.388, 0.102)
H (0.494, 0.555, 0.821)
H (0.494, 0.945, 0.321)
H (0.506, 0.055, 0.679)
H (0.506, 0.445, 0.179)

Total energy: -8.15 eV/atom

=====

(4)
Here is BeCuAs2 after structural relaxation from the Alexandria database. Energies are from PBE-GGA.

a = 4.593 Å, b = 4.593 Å, c = 4.593 Å
α = 126.95°, β = 126.95°, γ = 78.33°
Element x y z (fractional)
Be (0.000, 0.000, 0.000)
Cu (0.500, 0.500, 0.000)
As (0.250, 0.750, 0.500)
As (0.750, 0.250, 0.500)

Formation energy: 0.4155 eV/atom

=====

(5)
Here is Pm2Ga4HgPt3 after structural relaxation from the Alexandria database. Energies are from PBE-GGA.

a = 4.340 Å, b = 4.340 Å, c = 10.624 Å
α = 90.00°, β = 90.00°, γ = 90.00°
Element x y z (fractional)
Pm (0.000, 0.500, 0.236)
Pm (0.500, 0.000, 0.764)
Ga (0.000, 0.000, 0.000)
Ga (0.000, 0.500, 0.642)
Ga (0.500, 0.000, 0.358)
Ga (0.500, 0.500, 0.000)
Hg (0.000, 0.000, 0.500)
Pt (0.000, 0.500, 0.873)
Pt (0.500, 0.000, 0.127)
Pt (0.500, 0.500, 0.500)

Formation energy: -0.8096 eV/atom

=====

(6)
Here is TeAsBr4 after structural relaxation from the Alexandria database. Energies are from PBE-GGA.

a = 6.250 Å, b = 6.250 Å, c = 6.250 Å
α = 60.00°, β = 60.00°, γ = 60.00°
Element x y z (fractional)
Te (0.000, 0.000, 0.000)
As (0.750, 0.750, 0.750)
Br (0.375, 0.375, 0.375)
Br (0.375, 0.375, 0.875)
Br (0.375, 0.875, 0.375)
Br (0.875, 0.375, 0.375)

Energy relative to the elements, uncorrected: 919 meV/atom

=====

(7)
Here is Zn2ReO after structural relaxation from the Alexandria database. Energies are from PBE-GGA.

a = 5.651 Å, b = 5.651 Å, c = 5.651 Å
α = 97.20°, β = 97.20°, γ = 138.52°
Element x y z (fractional)
Zn (0.040, 0.625, 0.915)
Zn (0.375, 0.290, 0.415)
Zn (0.710, 0.125, 0.085)
Zn (0.875, 0.960, 0.585)
Re (0.250, 0.750, 0.500)
Re (0.500, 0.500, 0.000)
O (0.000, 0.000, 0.000)
O (0.750, 0.250, 0.500)

Energy relative to the elements, uncorrected: 237 meV/atom

=====

(8)
Here is NaMgAl2Ir after structural relaxation from the Alexandria database. Energies are from PBE-GGA.

a = 4.778 Å, b = 4.778 Å, c = 5.080 Å
α = 90.00°, β = 90.00°, γ = 90.00°
Element x y z (fractional)
Na (0.000, 0.000, 0.000)
Mg (0.500, 0.500, 0.000)
Al (0.000, 0.500, 0.500)
Al (0.500, 0.000, 0.500)
Ir (0.500, 0.500, 0.500)

Formation energy: -0.2851 eV/atom

=====

(9)
Here is CaPr12Ho6 after structural relaxation from the Alexandria database. Energies are from PBE-GGA.

a = 8.933 Å, b = 8.933 Å, c = 8.933 Å
α = 98.35°, β = 98.35°, γ = 98.35°
Element x y z (fractional)
Ca (0.000, 0.000, 0.000)
Pr (0.085, 0.357, 0.357)
Pr (0.239, 0.500, 0.761)
Pr (0.239, 0.761, 0.500)
Pr (0.357, 0.085, 0.357)
Pr (0.357, 0.357, 0.085)
Pr (0.500, 0.239, 0.761)
Pr (0.500, 0.761, 0.239)
Pr (0.643, 0.643, 0.915)
Pr (0.643, 0.915, 0.643)
Pr (0.761, 0.239, 0.500)
Pr (0.761, 0.500, 0.239)
Pr (0.915, 0.643, 0.643)
Ho (0.098, 0.098, 0.657)
Ho (0.098, 0.657, 0.098)
Ho (0.343, 0.902, 0.902)
Ho (0.657, 0.098, 0.098)
Ho (0.902, 0.343, 0.902)
Ho (0.902, 0.902, 0.343)

Formation energy: 0.1799 eV/atom

=====

(10)
Here is TbSmGaIr after structural relaxation from the Alexandria database. Energies are from PBE-GGA.

a = 5.021 Å, b = 5.021 Å, c = 5.021 Å
α = 60.00°, β = 60.00°, γ = 60.00°
Element x y z (fractional)
Tb (0.000, 0.000, 0.000)
Sm (0.500, 0.500, 0.500)
Ga (0.250, 0.250, 0.250)
Ir (0.750, 0.750, 0.750)

E above lowest polymorph: 0.093 eV/atom
Formation energy: -0.6102 eV/atom

=====

(11)
Here is RbScMnCl2 after structural relaxation from the Alexandria database. Energies are from PBE-GGA.

a = 5.268 Å, b = 5.268 Å, c = 5.247 Å
α = 90.00°, β = 90.00°, γ = 90.00°
Element x y z (fractional)
Rb (0.000, 0.000, 0.000)
Sc (0.500, 0.500, 0.500)
Mn (0.500, 0.500, 0.000)
Cl (0.000, 0.500, 0.500)
Cl (0.500, 0.000, 0.500)

Energy relative to the elements, uncorrected: -630 meV/atom

=====

(12)
Here is MgHg2Te after structural relaxation from the Alexandria database. Energies are from PBE-GGA.

a = 7.164 Å, b = 7.164 Å, c = 4.157 Å
α = 106.63°, β = 106.63°, γ = 131.82°
Element x y z (fractional)
Mg (0.000, 0.000, 0.000)
Hg (0.000, 0.500, 0.500)
Hg (0.500, 0.000, 0.500)
Te (0.500, 0.500, 0.000)

E above lowest polymorph: 0.031 eV/atom
Energy relative to the elements, uncorrected: -250 meV/atom